## Fe2Br (GGA-PBEsol)

Data for a relaxed structure of Fe2Br.

Calculated values
ΔE_f (raw): 0.473 eV per atom
total magnetization: 5.471 μB per formula unit
DOS(E_F): 2.6 states/eV per cell
raw total energy: -6.126 eV per atom

abc: 3.1153 3.1153 5.4838
angles: 90.00 90.00 120.00
Space group P-3m1 (No. 164)
Asymmetric unit:
Fe 0.3333 0.6667 0.3589 x2
Br 0.0000 0.0000 0.0000 x1